(1)
Material: NaSrEuSeO6
Method: DFT, PBE
State: optimized geometry

abc: 8.166 8.166 8.166
angles: 90.00 90.00 90.00
Space group F-43m (No. 216)
Symmetry-distinct sites (fractional):
Na (0.000, 0.000, 0.000) x4
Sr (0.000, 0.000, 0.500) x4
Eu (0.250, 0.250, 0.750) x4
Se (0.250, 0.250, 0.250) x4
O (0.027, 0.250, 0.250) x24

Calculated values
raw total energy = -6.44 eV per atom
mass density = 5336 kg/m³
V = 13.6 Å³ per atom
D(E_F) = 9.6 states/eV/f.u.

=====

(2)
Material: Sm2TmPu
Method: DFT, PBE
State: optimized geometry

abc: 3.5599 3.5599 34.3836
angles: 90.00 90.00 120.00
Space group R3m (No. 160, hexagonal axes)
Symmetry-distinct sites (fractional):
Sm (0.0000, 0.0000, 0.0000) x3
Sm (0.0000, 0.0000, 0.1647) x3
Tm (0.0000, 0.0000, 0.5822) x3
Pu (0.0000, 0.0000, 0.4157) x3

Calculated values
raw total energy = -6.95 eV per atom
mass density = 9421 kg/m³
V = 31.4 Å³ per atom
energy relative to the elements = 0.115 eV per atom
D(E_F) = 11.1 states/eV/f.u.

=====

(3)
Material: Hf2AuF
Method: DFT, PBE
State: optimized geometry

abc: 6.580 6.580 6.580
angles: 90.00 90.00 90.00
Space group Fm-3m (No. 225)
Symmetry-distinct sites (fractional):
Hf (0.250, 0.250, 0.250) x8
Au (0.000, 0.000, 0.000) x4
F (0.000, 0.000, 0.500) x4

Calculated values
raw total energy = -7.07 eV per atom
mass density = 13360 kg/m³
V = 17.8 Å³ per atom
D(E_F) = 1.4 states/eV/f.u.

=====

(4)
Material: K2CrHg
Method: DFT, PBE
State: optimized geometry

abc: 3.921 3.921 10.122
angles: 90.00 90.00 90.00
Space group P4mm (No. 99)
Symmetry-distinct sites (fractional):
K (0.000, 0.000, 0.000) x1
K (0.500, 0.500, 0.399) x1
Cr (0.000, 0.000, 0.670) x1
Hg (0.500, 0.500, 0.736) x1

Calculated values
raw total energy = -2.65 eV per atom
mass density = 3529 kg/m³
V = 38.9 Å³ per atom
energy relative to the elements = 0.376 eV per atom
D(E_F) = 2.5 states/eV/f.u.

=====

(5)
Material: NaAl6Pt3
Method: DFT, PBE
State: optimized geometry

abc: 7.855 4.256 10.065
angles: 90.00 96.91 90.00
Space group P2_1/m (No. 11)
Symmetry-distinct sites (fractional):
Na (0.064, 0.250, 0.280) x2
Al (0.111, 0.250, 0.589) x2
Al (0.125, 0.750, 0.009) x2
Al (0.295, 0.750, 0.261) x2
Al (0.299, 0.750, 0.756) x2
Al (0.418, 0.250, 0.426) x2
Al (0.460, 0.250, 0.914) x2
Pt (0.146, 0.250, 0.856) x2
Pt (0.247, 0.750, 0.500) x2
Pt (0.386, 0.250, 0.153) x2

Calculated values
raw total energy = -4.91 eV per atom
mass density = 7657 kg/m³
V = 16.7 Å³ per atom
energy relative to the elements = -0.722 eV per atom
D(E_F) = 4.0 states/eV/f.u.

=====

(6)
Material: SmDyPt
Method: DFT, PBE
State: optimized geometry

abc: 6.714 7.220 7.013
angles: 90.00 96.39 90.00
Space group P2_1/c (No. 14)
Symmetry-distinct sites (fractional):
Sm (0.071, 0.239, 0.003) x4
Dy (0.405, 0.615, 0.215) x4
Pt (0.216, 0.550, 0.802) x4

Calculated values
raw total energy = -5.97 eV per atom
mass density = 9987 kg/m³
V = 28.2 Å³ per atom
energy relative to the elements = -0.850 eV per atom
D(E_F) = 3.2 states/eV/f.u.

=====

- What is the mass density in the second record?
  9421 kg/m³